Below is a geometry-optimized Sc2PdC structure, with properties calculated at the GGA-PBE level.

Values from the calculation:
The size of the total moment comes out at 0.0 μB per formula unit. Its formation energy is -0.27 eV per atom. As for the crystal system: tetragonal. The value obtained for the energy is -112.699 eV for the cell shown. The density comes out at 4.8 g cm⁻³.

```
data_Sc2PdC
_chemical_formula_sum 'Sc8 Pd4 C4'
_cell_length_a 6.389
_cell_length_b 6.389
_cell_length_c 7.005
_cell_angle_alpha 90.00
_cell_angle_beta 90.00
_cell_angle_gamma 90.00
_space_group_name_H-M_alt 'I -4 2 d'
_space_group_IT_number 122
_space_group_name_Hall 'I -4 2bw'
loop_
_atom_site_label
_atom_site_fract_x
_atom_site_fract_y
_atom_site_fract_z
_atom_site_occupancy
Sc1 0.178 0.750 0.125 1
Pd1 0.000 0.000 0.500 1
C1 0.000 0.000 0.000 1
```

Below is a geometry-optimized ScPdC2 structure, with properties calculated at the GGA-PBE level.

Values from the calculation:
The polymorph energy (0 for the lowest one) is 143.1 meV/atom. The size of the total moment comes out at 0.0 μB per formula unit. Its formation energy is 0.89 eV per atom. As for the crystal system: cubic. The value obtained for the energy is -105.609 eV for the cell shown. The density comes out at 6.5 g cm⁻³.

```
data_ScPdC2
_chemical_formula_sum 'Sc4 Pd4 C8'
_cell_length_a 5.639
_cell_length_b 5.639
_cell_length_c 5.639
_cell_angle_alpha 90.00
_cell_angle_beta 90.00
_cell_angle_gamma 90.00
_space_group_name_H-M_alt 'F m -3 m'
_space_group_IT_number 225
_space_group_name_Hall '-F 4 2 3'
loop_
_atom_site_label
_atom_site_fract_x
_atom_site_fract_y
_atom_site_fract_z
_atom_site_occupancy
Sc1 0.000 0.000 0.000 1
Pd1 0.000 0.000 0.500 1
C1 0.250 0.250 0.250 1
```

Below is a geometry-optimized ScPdC3 structure, with properties calculated at the GGA-PBE level.

Values from the calculation:
The polymorph energy (0 for the lowest one) is 554.3 meV/atom. The size of the total moment comes out at 0.0 μB per formula unit. Its formation energy is 2.52 eV per atom. As for the crystal system: cubic. The value obtained for the energy is -26.619 eV for the cell shown. The density comes out at 4.3 g cm⁻³.

```
data_ScPdC3
_chemical_formula_sum 'Sc1 Pd1 C3'
_cell_length_a 4.162
_cell_length_b 4.162
_cell_length_c 4.162
_cell_angle_alpha 90.00
_cell_angle_beta 90.00
_cell_angle_gamma 90.00
_space_group_name_H-M_alt 'P m -3 m'
_space_group_IT_number 221
_space_group_name_Hall '-P 4 2 3'
loop_
_atom_site_label
_atom_site_fract_x
_atom_site_fract_y
_atom_site_fract_z
_atom_site_occupancy
Sc1 0.000 0.000 0.000 1
Pd1 0.500 0.500 0.500 1
C1 0.000 0.000 0.500 1
```

Below is a geometry-optimized ScPdC2 structure, with properties calculated at the GGA-PBE level.

Values from the calculation:
The polymorph energy (0 for the lowest one) is 0.0 meV/atom. The size of the total moment comes out at 0.0 μB per formula unit. Its formation energy is 0.75 eV per atom. As for the crystal system: tetragonal. The value obtained for the energy is -107.898 eV for the cell shown. The density comes out at 5.1 g cm⁻³.

```
data_ScPdC2
_chemical_formula_sum 'Sc4 Pd4 C8'
_cell_length_a 4.675
_cell_length_b 4.675
_cell_length_c 10.499
_cell_angle_alpha 90.00
_cell_angle_beta 90.00
_cell_angle_gamma 90.00
_space_group_name_H-M_alt 'I -4 2 d'
_space_group_IT_number 122
_space_group_name_Hall 'I -4 2bw'
loop_
_atom_site_label
_atom_site_fract_x
_atom_site_fract_y
_atom_site_fract_z
_atom_site_occupancy
Sc1 0.000 0.000 0.000 1
Pd1 0.000 0.000 0.500 1
C1 0.207 0.250 0.625 1
```

Below is a geometry-optimized Sc3PdC structure, with properties calculated at the GGA-PBE level.

Values from the calculation:
The polymorph energy (0 for the lowest one) is 0.0 meV/atom. The size of the total moment comes out at 0.0 μB per formula unit. Its formation energy is -0.61 eV per atom. As for the crystal system: monoclinic. The value obtained for the energy is -291.770 eV for the cell shown. The density comes out at 4.7 g cm⁻³.

```
data_Sc3PdC
_chemical_formula_sum 'Sc24 Pd8 C8'
_cell_length_a 10.877
_cell_length_b 6.355
_cell_length_c 10.879
_cell_angle_alpha 90.00
_cell_angle_beta 108.88
_cell_angle_gamma 90.00
_space_group_name_H-M_alt 'C 1 2/c 1'
_space_group_IT_number 15
loop_
_space_group_symop_operation_xyz
'x,y,z'
'-x,-y,-z'
'-x,y,-z+1/2'
'x,-y,z+1/2'
'x+1/2,y+1/2,z'
'-x+1/2,-y+1/2,-z'
'-x+1/2,y+1/2,-z+1/2'
'x+1/2,-y+1/2,z+1/2'
loop_
_atom_site_label
_atom_site_fract_x
_atom_site_fract_y
_atom_site_fract_z
_atom_site_occupancy
Sc1 0.083 0.250 0.083 1
Sc2 0.147 0.000 0.353 1
Sc3 0.147 0.500 0.353 1
Pd1 0.129 0.250 0.629 1
C1 0.000 0.250 0.250 1
C2 0.250 0.250 0.000 1
```

Below is a geometry-optimized Sc2PdC structure, with properties calculated at the GGA-PBE level.

Values from the calculation:
The size of the total moment comes out at 0.0 μB per formula unit. Its formation energy is 0.63 eV per atom. As for the crystal system: trigonal. The value obtained for the energy is -73.704 eV for the cell shown. The density comes out at 4.0 g cm⁻³.

```
data_Sc2PdC
_chemical_formula_sum 'Sc6 Pd3 C3'
_cell_length_a 3.5585
_cell_length_b 3.5585
_cell_length_c 23.4220
_cell_angle_alpha 90.00
_cell_angle_beta 90.00
_cell_angle_gamma 120.00
_space_group_name_H-M_alt 'R -3 m'
_space_group_IT_number 166
_space_group_name_Hall '-R 3 2"'
loop_
_atom_site_label
_atom_site_fract_x
_atom_site_fract_y
_atom_site_fract_z
_atom_site_occupancy
Sc1 0.0000 0.0000 0.0899 1
Pd1 0.0000 0.0000 0.5000 1
C1 0.0000 0.0000 0.0000 1
```